No. 1
AcScSi | PBE | optimized geometry

Calculated values
* energy relative to the elements, uncorrected: -77 kJ/mol of formula units
* E above lowest polymorph: 278.9 meV/atom

Cell and atoms, written as CIF:
```
data_AcScSi
_symmetry_space_group_name_H-M 'F -4 3 m'
_symmetry_Int_Tables_number 216
_symmetry_space_group_name_Hall 'F -4 2 3'
_cell_length_a 7.053
_cell_length_b 7.053
_cell_length_c 7.053
_cell_angle_alpha 90.00
_cell_angle_beta 90.00
_cell_angle_gamma 90.00
loop_
_atom_site_label
_atom_site_type_symbol
_atom_site_fract_x
_atom_site_fract_y
_atom_site_fract_z
_atom_site_occupancy
Ac1 Ac 0.000 0.000 0.000 1
Sc1 Sc 0.000 0.000 0.500 1
Si1 Si 0.250 0.250 0.750 1
```

---

No. 2
KRe3Si | PBE | optimized geometry

Calculated values
* energy relative to the elements, uncorrected: 1928 kJ/mol of formula units
* E above lowest polymorph: 2269.3 meV/atom

Cell and atoms, written as CIF:
```
data_KRe3Si
_symmetry_space_group_name_H-M 'P m -3 m'
_symmetry_Int_Tables_number 221
_symmetry_space_group_name_Hall '-P 4 2 3'
_cell_length_a 4.526
_cell_length_b 4.526
_cell_length_c 4.526
_cell_angle_alpha 90.00
_cell_angle_beta 90.00
_cell_angle_gamma 90.00
loop_
_atom_site_label
_atom_site_type_symbol
_atom_site_fract_x
_atom_site_fract_y
_atom_site_fract_z
_atom_site_occupancy
K1 K 0.000 0.000 0.000 1
Re1 Re 0.000 0.000 0.500 1
Si1 Si 0.500 0.500 0.500 1
```

---

No. 3
SmBiPtAu | PBE | optimized geometry

Calculated values
* uncorrected energy: -5.135 eV per atom

Cell and atoms, written as CIF:
```
data_SmBiPtAu
_symmetry_space_group_name_H-M 'F -4 3 m'
_symmetry_Int_Tables_number 216
_symmetry_space_group_name_Hall 'F -4 2 3'
_cell_length_a 7.155
_cell_length_b 7.155
_cell_length_c 7.155
_cell_angle_alpha 90.00
_cell_angle_beta 90.00
_cell_angle_gamma 90.00
loop_
_atom_site_label
_atom_site_type_symbol
_atom_site_fract_x
_atom_site_fract_y
_atom_site_fract_z
_atom_site_occupancy
Sm1 Sm 0.000 0.000 0.000 1
Bi1 Bi 0.000 0.000 0.500 1
Pt1 Pt 0.250 0.250 0.750 1
Au1 Au 0.250 0.250 0.250 1
```

---

No. 4
DyTmBe2Si2 | PBE | optimized geometry

Calculated values
* energy relative to the elements, uncorrected: -379 kJ/mol of formula units

Cell and atoms, written as CIF:
```
data_DyTmBe2Si2
_symmetry_space_group_name_H-M 'P -3 m 1'
_symmetry_Int_Tables_number 164
_symmetry_space_group_name_Hall '-P 3 2"'
_cell_length_a 3.8517
_cell_length_b 3.8517
_cell_length_c 7.9848
_cell_angle_alpha 90.00
_cell_angle_beta 90.00
_cell_angle_gamma 120.00
loop_
_atom_site_label
_atom_site_type_symbol
_atom_site_fract_x
_atom_site_fract_y
_atom_site_fract_z
_atom_site_occupancy
Dy1 Dy 0.0000 0.0000 0.0000 1
Tm1 Tm 0.0000 0.0000 0.5000 1
Be1 Be 0.3333 0.6667 0.7462 1
Si1 Si 0.3333 0.6667 0.2532 1
```